1.
Here is crystalline TmGa4Ru at its relaxed geometry from Alexandria via LeMat-Bulk. Energies are from PBE.

## Properties
Formation energy from the elements, meV/atom: -106
Final energy, eV per atom: -4.42
E above lowest polymorph, eV per atom: 0.386

Cell lengths 7.274, 7.274, 5.138 Å; angles 90.00, 90.00, 90.00 degrees
Space group P4_2/nmc (No. 137, origin choice 2)
Inequivalent atoms, fractional coordinates:
Tm: 0.250 0.750 0.250 x2
Ga: 0.081 0.250 0.248 x8
Ru: 0.250 0.750 0.750 x2

---

2.
Here is crystalline Tm5Ga2Ru at its relaxed geometry from Alexandria via LeMat-Bulk. Energies are from PBE.

## Properties
Formation energy from the elements, meV/atom: -442
Final energy, eV per atom: -5.15

Cell lengths 7.195, 7.195, 14.684 Å; angles 90.00, 90.00, 90.00 degrees
Space group I4/mcm (No. 140)
Inequivalent atoms, fractional coordinates:
Tm: 0.000 0.000 0.000 x4
Tm: 0.176 0.324 0.152 x16
Ga: 0.121 0.379 0.500 x8
Ru: 0.000 0.000 0.250 x4

---

3.
Here is crystalline Tm4Ga3Ru at its relaxed geometry from Alexandria via LeMat-Bulk. Energies are from PBE.

## Properties
Formation energy from the elements, meV/atom: -567
Final energy, eV per atom: -5.10
E above lowest polymorph, eV per atom: 0.011

Cell lengths 3.846, 4.289, 10.760 Å; angles 90.00, 90.00, 90.00 degrees
Space group Pmm2 (No. 25)
Inequivalent atoms, fractional coordinates:
Tm: 0.000 0.000 0.000 x1
Tm: 0.000 0.500 0.271 x1
Tm: 0.500 0.000 0.470 x1
Tm: 0.500 0.500 0.783 x1
Ga: 0.000 0.000 0.708 x1
Ga: 0.000 0.500 0.557 x1
Ga: 0.500 0.500 0.059 x1
Ru: 0.500 0.000 0.202 x1

---

4.
Here is crystalline TmGa6Ru4 at its relaxed geometry from Alexandria via LeMat-Bulk. Energies are from PBE.

## Properties
Formation energy from the elements, meV/atom: -201
Final energy, eV per atom: -5.63

Cell lengths 6.501, 6.501, 9.464 Å; angles 90.00, 90.00, 90.00 degrees
Space group I-42m (No. 121)
Inequivalent atoms, fractional coordinates:
Tm: 0.000 0.000 0.000 x2
Ga: 0.000 0.500 0.000 x4
Ga: 0.183 0.183 0.708 x8
Ru: 0.169 0.169 0.420 x8

---

5.
Here is crystalline Tm12GaRu6 at its relaxed geometry from Alexandria via LeMat-Bulk. Energies are from PBE.

## Properties
Formation energy from the elements, meV/atom: -259
Final energy, eV per atom: -6.17

Cell lengths 13.4011, 13.4011, 8.8582 Å; angles 90.00, 90.00, 120.00 degrees
Space group R-3 (No. 148, hexagonal axes)
Inequivalent atoms, fractional coordinates:
Tm: 0.0444 0.7925 0.4244 x18
Tm: 0.0518 0.8688 0.8245 x18
Ga: 0.0000 0.0000 0.5000 x3
Ru: 0.0726 0.8187 0.1166 x18

---

6.
Here is crystalline TmGa3Ru at its relaxed geometry from Alexandria via LeMat-Bulk. Energies are from PBE.

## Properties
Formation energy from the elements, meV/atom: -247
Final energy, eV per atom: -4.81
E above lowest polymorph, eV per atom: 0.333

Cell lengths 6.6091, 6.6091, 7.9493 Å; angles 90.00, 90.00, 120.00 degrees
Space group R3m (No. 160, hexagonal axes)
Inequivalent atoms, fractional coordinates:
Tm: 0.0000 0.0000 0.0000 x3
Ga: 0.0647 0.5323 0.0355 x9
Ru: 0.0000 0.0000 0.6218 x3

---

7.
Here is crystalline TmGa4Ru at its relaxed geometry from Alexandria via LeMat-Bulk. Energies are from PBE.

## Properties
Formation energy from the elements, meV/atom: -492
Final energy, eV per atom: -4.80
E above lowest polymorph, eV per atom: 0.000

Cell lengths 7.837, 4.021, 6.828 Å; angles 90.00, 90.00, 90.00 degrees
Space group Pmma (No. 51)
Inequivalent atoms, fractional coordinates:
Tm: 0.250 0.000 0.122 x2
Ga: 0.000 0.000 0.500 x2
Ga: 0.061 0.500 0.821 x4
Ga: 0.250 0.500 0.445 x2
Ru: 0.250 0.000 0.700 x2

---

8.
Here is crystalline TmGaRu2 at its relaxed geometry from Alexandria via LeMat-Bulk. Energies are from PBE.

## Properties
Formation energy from the elements, meV/atom: 241
Final energy, eV per atom: -6.27

Cell lengths 5.489, 6.617, 9.100 Å; angles 90.00, 90.00, 90.00 degrees
Space group Pmma (No. 51)
Inequivalent atoms, fractional coordinates:
Tm: 0.250 0.000 0.096 x2
Tm: 0.250 0.500 0.275 x2
Ga: 0.250 0.000 0.752 x2
Ga: 0.250 0.500 0.783 x2
Ru: 0.000 0.000 0.500 x2
Ru: 0.000 0.500 0.000 x2
Ru: 0.250 0.315 0.545 x4

---

9.
Here is crystalline Tm4Ga6Ru7 at its relaxed geometry from Alexandria via LeMat-Bulk. Energies are from PBE.

## Properties
Formation energy from the elements, meV/atom: -446
Final energy, eV per atom: -6.39

Cell lengths 8.340, 8.340, 8.340 Å; angles 90.00, 90.00, 90.00 degrees
Space group Im-3m (No. 229)
Inequivalent atoms, fractional coordinates:
Tm: 0.250 0.250 0.250 x8
Ga: 0.000 0.000 0.309 x12
Ru: 0.000 0.000 0.000 x2
Ru: 0.000 0.250 0.500 x12

---

10.
Here is crystalline Tm2Ga8Ru at its relaxed geometry from Alexandria via LeMat-Bulk. Energies are from PBE.

## Properties
Formation energy from the elements, meV/atom: -481
Final energy, eV per atom: -4.34

Cell lengths 4.261, 4.261, 11.185 Å; angles 90.00, 90.00, 90.00 degrees
Space group P4/mmm (No. 123)
Inequivalent atoms, fractional coordinates:
Tm: 0.000 0.000 0.191 x2
Ga: 0.000 0.500 0.000 x2
Ga: 0.000 0.500 0.377 x4
Ga: 0.500 0.500 0.191 x2
Ru: 0.000 0.000 0.500 x1

---

11.
Here is crystalline Tm2Ga9Ru3 at its relaxed geometry from Alexandria via LeMat-Bulk. Energies are from PBE.

## Properties
Formation energy from the elements, meV/atom: -524
Final energy, eV per atom: -5.10

Cell lengths 12.861, 7.543, 9.667 Å; angles 90.00, 90.00, 90.00 degrees
Space group Cmcm (No. 63)
Inequivalent atoms, fractional coordinates:
Tm: 0.161 0.163 0.250 x8
Ga: 0.000 0.132 0.750 x4
Ga: 0.000 0.338 0.063 x8
Ga: 0.108 0.448 0.750 x8
Ga: 0.165 0.173 0.578 x16
Ru: 0.000 0.000 0.000 x4
Ru: 0.177 0.500 0.000 x8

---

12.
Here is crystalline Tm4Ga12Ru at its relaxed geometry from Alexandria via LeMat-Bulk. Energies are from PBE.

## Properties
Formation energy from the elements, meV/atom: -544
Final energy, eV per atom: -4.28

Cell lengths 8.561, 8.561, 8.561 Å; angles 90.00, 90.00, 90.00 degrees
Space group Im-3m (No. 229)
Inequivalent atoms, fractional coordinates:
Tm: 0.250 0.250 0.250 x8
Ga: 0.000 0.000 0.291 x12
Ga: 0.000 0.250 0.500 x12
Ru: 0.000 0.000 0.000 x2

---

13.
Here is crystalline Tm2Ga5Ru at its relaxed geometry from Alexandria via LeMat-Bulk. Energies are from PBE.

## Properties
Formation energy from the elements, meV/atom: -405
Final energy, eV per atom: -4.57

Cell lengths 6.163, 6.163, 7.985 Å; angles 90.00, 90.00, 90.00 degrees
Space group I4mm (No. 107)
Inequivalent atoms, fractional coordinates:
Tm: 0.000 0.500 0.000 x4
Ga: 0.000 0.000 0.016 x2
Ga: 0.214 0.214 0.753 x8
Ru: 0.000 0.000 0.325 x2

---

14.
Here is crystalline Tm5GaRu4 at its relaxed geometry from Alexandria via LeMat-Bulk. Energies are from PBE.

## Properties
Formation energy from the elements, meV/atom: -491
Final energy, eV per atom: -6.74

Cell lengths 3.388, 3.388, 17.024 Å; angles 90.00, 90.00, 90.00 degrees
Space group P4/mmm (No. 123)
Inequivalent atoms, fractional coordinates:
Tm: 0.000 0.000 0.000 x1
Tm: 0.000 0.000 0.195 x2
Tm: 0.000 0.000 0.389 x2
Ga: 0.500 0.500 0.500 x1
Ru: 0.500 0.500 0.099 x2
Ru: 0.500 0.500 0.298 x2

---

15.
Here is crystalline Tm2Ga3Ru at its relaxed geometry from Alexandria via LeMat-Bulk. Energies are from PBE.

## Properties
Formation energy from the elements, meV/atom: -278
Final energy, eV per atom: -4.83

Cell lengths 4.644, 5.422, 9.756 Å; angles 90.00, 90.00, 90.00 degrees
Space group Immm (No. 71)
Inequivalent atoms, fractional coordinates:
Tm: 0.000 0.000 0.199 x4
Ga: 0.000 0.500 0.127 x4
Ga: 0.000 0.500 0.500 x2
Ru: 0.000 0.000 0.500 x2

---

16.
Here is crystalline TmGaRu2 at its relaxed geometry from Alexandria via LeMat-Bulk. Energies are from PBE.

## Properties
Formation energy from the elements, meV/atom: -339
Final energy, eV per atom: -6.85

Cell lengths 3.236, 3.236, 6.303 Å; angles 90.00, 90.00, 90.00 degrees
Space group P4/mmm (No. 123)
Inequivalent atoms, fractional coordinates:
Tm: 0.000 0.000 0.000 x1
Ga: 0.000 0.000 0.500 x1
Ru: 0.500 0.500 0.283 x2

---

17.
Here is crystalline Tm2UGa2Ru5 at its relaxed geometry from Alexandria via LeMat-Bulk. Energies are from PBE.

## Properties
Formation energy from the elements, meV/atom: -500
Final energy, eV per atom: -7.77

Cell lengths 9.927, 9.927, 3.502 Å; angles 90.00, 90.00, 90.00 degrees
Space group P4/mbm (No. 127)
Inequivalent atoms, fractional coordinates:
Tm: 0.168 0.332 0.000 x4
U: 0.000 0.000 0.000 x2
Ga: 0.128 0.628 0.000 x4
Ru: 0.000 0.500 0.500 x2
Ru: 0.070 0.802 0.500 x8

---

18.
Here is crystalline Tm2VGa2Ru5 at its relaxed geometry from Alexandria via LeMat-Bulk. Energies are from PBE.

## Properties
Formation energy from the elements, meV/atom: -354
Final energy, eV per atom: -7.40

Cell lengths 9.983, 9.983, 3.277 Å; angles 90.00, 90.00, 90.00 degrees
Space group P4/mbm (No. 127)
Inequivalent atoms, fractional coordinates:
Tm: 0.170 0.330 0.000 x4
V: 0.000 0.000 0.000 x2
Ga: 0.131 0.631 0.000 x4
Ru: 0.000 0.500 0.500 x2
Ru: 0.064 0.809 0.500 x8

---

19.
Here is crystalline Tm2Ga2Ru5W at its relaxed geometry from Alexandria via LeMat-Bulk. Energies are from PBE.

## Properties
Formation energy from the elements, meV/atom: -341
Final energy, eV per atom: -7.77

Cell lengths 10.075, 10.075, 3.284 Å; angles 90.00, 90.00, 90.00 degrees
Space group P4/mbm (No. 127)
Inequivalent atoms, fractional coordinates:
Tm: 0.171 0.329 0.000 x4
Ga: 0.128 0.628 0.000 x4
Ru: 0.000 0.500 0.500 x2
Ru: 0.064 0.804 0.500 x8
W: 0.000 0.000 0.000 x2